The following is a GGA-PBE calculation of an optimized crystal structure of Hf2Mg2Ni15, from the Alexandria database.

Structure (POSCAR):
```
Hf2Mg2Ni15
1.0
-1.818 -5.842 1.685
-1.546 -2.148 -5.768
5.422 -3.029 -1.304
Hf Mg Ni
2 2 15
direct
0.114 0.114 0.114
0.886 0.886 0.886
0.366 0.366 0.366
0.634 0.634 0.634
0.500 0.000 0.000
0.000 0.000 0.500
0.000 0.500 0.000
0.000 0.697 0.303
0.697 0.303 0.000
0.303 0.000 0.697
0.303 0.697 0.000
0.697 0.000 0.303
0.000 0.303 0.697
0.162 0.651 0.651
0.651 0.651 0.162
0.651 0.162 0.651
0.838 0.349 0.349
0.349 0.349 0.838
0.349 0.838 0.349
```

Output
The calculation puts the spin magnetization at 2.451 μB/f.u. For the density of states at the Fermi level, the calculation gives 26.282 states/eV/f.u. As for the energy relative to the elements: -132 meV per atom.

---

The following is a GGA-PBE calculation of an optimized crystal structure of InRu3, from the Alexandria database.

Structure (POSCAR):
```
InRu3
1.0
-1.430 -4.693 1.904
1.472 -1.164 4.916
-2.724 3.244 -3.123
In Ru
1 3
direct
0.000 0.000 0.000
0.748 0.248 0.500
0.500 0.500 0.000
0.252 0.752 0.500
```

Output
The calculation puts the spin magnetization at 0.000 μB/f.u. For the density of states at the Fermi level, the calculation gives 5.132 states/eV/f.u. As for the energy relative to the elements: 360 meV per atom.

---

The following is a GGA-PBE calculation of an optimized crystal structure of Pm3Co7Ni2, from the Alexandria database.

Structure (POSCAR):
```
Pm3Co7Ni2
1.0
4.765 0.000 1.492
2.149 4.253 1.492
-0.155 -0.095 8.853
Pm Co Ni
3 7 2
direct
0.000 0.000 0.000
0.861 0.861 0.418
0.139 0.139 0.582
0.500 0.500 0.500
0.918 0.421 0.240
0.421 0.918 0.240
0.421 0.421 0.240
0.082 0.579 0.760
0.579 0.579 0.760
0.579 0.082 0.760
0.667 0.667 0.999
0.333 0.333 0.001
```

Output
The calculation puts the spin magnetization at 8.168 μB/f.u. For the density of states at the Fermi level, the calculation gives 15.291 states/eV/f.u. As for the energy relative to the elements: -124 meV per atom.